Below is crystalline Nb2CoH at its relaxed geometry, with properties calculated at the GGA-PBEsol level.

a b c (Å): 5.864 5.864 5.864
angles (deg): 90.00 90.00 90.00
Space group Fm-3m (No. 225)
Asymmetric unit:
Nb 0.250 0.250 0.250 x8
Co 0.000 0.000 0.000 x4
H 0.000 0.000 0.500 x4

Output
Its energy is -126.39 eV/cell.